Entry 1:
This record from Alexandria via LeMat-Bulk describes a relaxed structure of LiGdSb2. The functional is PBE.

a b c (Å): 4.8703 4.8703 5.7681
angles (deg): 65.03 65.03 60.00
Last column: magnetic moment on the atom in μB.
Positions (direct):
Sb1 0.2593 0.2593 0.2221  0.01
Sb2 0.7407 0.7407 0.7779  0.01
Gd1 0.5000 0.5000 0.5000  -6.95
Li1 0.0000 0.0000 0.0000  0.00

Results
**Raw formation energy**: -0.603 eV per atom
**Crystal system**: trigonal
**Space-group type**: No. 166


Entry 2:
This record from Alexandria via LeMat-Bulk describes a relaxed structure of NaInC. The functional is PBE.

a b c (Å): 6.9387 6.9387 6.9387
angles (deg): 41.66 41.66 41.66
Positions (direct):
Na1 0.6019 0.6019 0.6019
Na2 0.3981 0.3981 0.3981
C1 0.9667 0.9667 0.9667
C2 0.0333 0.0333 0.0333
In1 0.1542 0.1542 0.1542
In2 0.8458 0.8458 0.8458

Results
**Crystal system**: trigonal
**Space-group type**: No. 166
**Formation energy**: 0.26 eV per atom


Entry 3:
This record from Alexandria via LeMat-Bulk describes a relaxed structure of PuVCrOs. The functional is PBE.

a b c (Å): 4.4689 4.4689 4.4689
angles (deg): 60.00 60.00 60.00
Last column: magnetic moment on the atom in μB.
Positions (direct):
Cr1 0.7500 0.7500 0.7500  -1.14
V1 0.5000 0.5000 0.5000  0.37
Os1 0.2500 0.2500 0.2500  -0.16
Pu1 0.0000 0.0000 0.0000  4.52

Results
**Crystal system**: cubic
**Space-group type**: No. 216
**Formation energy**: 0.17 eV per atom


Entry 4:
This record from Alexandria via LeMat-Bulk describes a relaxed structure of Rb4Pm3BiTe8. The functional is PBE.

a b c (Å): 9.2649 10.0980 9.2649
angles (deg): 117.33 120.00 90.00
Positions (direct):
Rb1 0.5000 0.0000 0.0000
Rb2 0.5000 0.0000 0.5000
Rb3 0.0000 0.0000 0.0000
Rb4 0.0000 0.0000 0.5000
Pm1 0.5000 0.5000 0.0000
Pm2 0.5000 0.5000 0.5000
Pm3 0.0000 0.5000 0.5000
Bi1 0.0000 0.5000 0.0000
Te1 0.2343 0.7030 0.9688
Te2 0.2343 0.7030 0.4686
Te3 0.2653 0.2962 0.5307
Te4 0.7346 0.7030 0.9688
Te5 0.2654 0.2970 0.0312
Te6 0.7347 0.7038 0.4693
Te7 0.7657 0.2970 0.5314
Te8 0.7657 0.2970 0.0312

Results
**Raw formation energy**: -1.205 eV per atom
**Crystal system**: trigonal
**Space-group type**: No. 166


Entry 5:
This record from Alexandria via LeMat-Bulk describes a relaxed structure of KMg2PaO6. The functional is PBE.

a b c (Å): 5.8845 7.4629 7.4629
angles (deg): 93.43 84.31 84.31
Positions (direct):
K1 0.2500 0.9275 0.0725
K2 0.7500 0.0725 0.9275
Mg1 0.3227 0.7698 0.6169
Mg2 0.1773 0.3831 0.2302
Mg3 0.6773 0.2302 0.3831
Mg4 0.8227 0.6169 0.7698
Pa1 0.2500 0.2854 0.7146
Pa2 0.7500 0.7146 0.2854
O1 0.2114 0.0114 0.7233
O2 0.2886 0.2767 0.9886
O3 0.7886 0.9886 0.2767
O4 0.7114 0.7233 0.0114
O5 0.3402 0.7392 0.3460
O6 0.1598 0.6540 0.2608
O7 0.6598 0.2608 0.6540
O8 0.8402 0.3460 0.7392
O9 0.1673 0.5780 0.7306
O10 0.3327 0.2694 0.4220
O11 0.8327 0.4220 0.2694
O12 0.6673 0.7306 0.5780

Results
**Raw formation energy**: -2.443 eV per atom
**Crystal system**: monoclinic
**Space-group type**: No. 15


Entry 6:
This record from Alexandria via LeMat-Bulk describes a relaxed structure of ZrBRh3. The functional is PBE.

a b c (Å): 5.8126 4.1783 6.5698
angles (deg): 89.99 116.26 90.00
Positions (direct):
B1 0.8062 0.3233 0.5749
B2 0.0407 0.3236 0.0440
Rh1 0.4234 0.3235 0.3095
Rh2 0.6608 0.3236 0.8094
Rh3 0.9234 0.3235 0.3095
Rh4 0.0604 0.8236 0.0834
Rh5 0.1861 0.3234 0.8095
Rh6 0.7864 0.8234 0.5356
Zr1 0.2895 0.8234 0.5416
Zr2 0.5573 0.8235 0.0773

Results
**Crystal system**: orthorhombic
**Space-group type**: No. 65
**Formation energy**: -0.67 eV per atom


Entry 7:
This record from Alexandria via LeMat-Bulk describes a relaxed structure of InPb2Cl. The functional is PBE.

a b c (Å): 3.5227 6.0594 5.4908
angles (deg): 90.00 90.00 90.00
Positions (direct):
Pb1 0.0000 0.0000 0.0000
Pb2 0.5000 0.5000 0.0000
Cl1 0.5000 0.0000 0.5000
In1 0.0000 0.5000 0.5000

Results
**Raw formation energy**: -0.263 eV per atom
**Crystal system**: orthorhombic
**Space-group type**: No. 47


Entry 8:
This record from Alexandria via LeMat-Bulk describes a relaxed structure of As2IrSe. The functional is PBE.

a b c (Å): 3.8113 4.9017 4.9002
angles (deg): 59.84 90.00 90.00
Positions (direct):
As1 0.0000 0.0572 0.0573
As2 0.0000 0.4428 0.4427
Ir1 0.5000 0.2500 0.2500
Se1 0.5000 0.7500 0.7500

Results
**Raw formation energy**: -0.034 eV per atom
**Crystal system**: orthorhombic
**Space-group type**: No. 65